(1)
Density functional theory data (PBE) for a relaxed structure of Ti6GaNi12.

Lattice parameters (Å, degrees): 11.2767 11.2767 7.2133 90.00 90.00 120.00
With the nearest neighbours (Å) after each atom.
Space group R-3m (No. 166, hexagonal axes)
Symmetry-distinct sites (fractional):
Ti (0.0388, 0.5194, 0.2083)  6 Ni 2.35-2.52
Ga (0.0000, 0.0000, 0.0000)  6 Ni 2.50
Ni (0.0000, 0.3903, 0.5000)  4 Ti 2.41-2.47, 3 Ni 2.47-2.65
Ni (0.0716, 0.1433, 0.2875)  2 Ti 2.35-2.52, 2 Ni 2.42, 1 Ga 2.50

Properties
ΔE_f = -0.10 eV per atom


(2)
Density functional theory data (PBE) for a relaxed structure of AsWS2N.

Lattice parameters (Å, degrees): 4.8210 4.8210 3.7996 90.00 90.00 90.00
With the nearest neighbours (Å) after each atom.
Space group P4/mmm (No. 123)
Symmetry-distinct sites (fractional):
As (0.0000, 0.0000, 0.0000)  8 S 3.07, 4 N 3.41
W (0.5000, 0.5000, 0.5000)  2 N 1.90
S (0.0000, 0.5000, 0.5000)  2 W 2.41
N (0.5000, 0.5000, 0.0000)  2 W 1.90

Properties
formation energy without anion corrections = 0.3738 eV/atom


(3)
Density functional theory data (PBE) for a relaxed structure of Hf2TiPb.

Lattice parameters (Å, degrees): 3.1662 3.1413 8.8707 90.00 90.10 90.00
With the nearest neighbours (Å) after each atom.
Space group P2/m (No. 10)
Symmetry-distinct sites (fractional):
Hf (0.0009, 0.0000, 0.2225)  4 Ti 2.98, 4 Hf 3.14-3.17, 4 Pb 3.32
Ti (0.5000, 0.5000, 0.0000)  8 Hf 2.98, 4 Ti 3.14-3.17
Pb (0.5000, 0.5000, 0.5000)  4 Pb 3.14-3.17, 8 Hf 3.32

Properties
ΔE_f = 0.03 eV per atom


For each record above, in turn, the calculated calculated total energy values are -364.79 -32.31 -31.38 eV per cell.
For each record above, in turn, the calculated DOS(E_F) values are 13.26 3.39 4.27 states/eV/f.u..